# Tb5Te4As PBE optimized geometry
data_Tb5Te4As
_chemical_formula_sum 'Tb5 Te4 As1'
_cell_length_a 4.272
_cell_length_b 4.272
_cell_length_c 16.049
_cell_angle_alpha 97.65
_cell_angle_beta 97.65
_cell_angle_gamma 90.00
_space_group_name_H-M_alt 'P 1'
_space_group_IT_number 1
_space_group_name_Hall 'P 1'
loop_
_atom_site_label
_atom_site_type_symbol
_atom_site_fract_x
_atom_site_fract_y
_atom_site_fract_z
Tb1 Tb 0.088 0.088 0.175
Tb2 Tb 0.500 0.500 0.000
Tb3 Tb 0.912 0.912 0.825
Tb4 Tb 0.289 0.289 0.578
Tb5 Tb 0.711 0.711 0.422
Te1 Te 0.397 0.397 0.795
Te2 Te 0.809 0.809 0.618
Te3 Te 0.191 0.191 0.382
Te4 Te 0.603 0.603 0.205
As1 As 0.000 0.000 0.000
# Uncorrected energy in eV per atom: -5.423
# Symmetry: I4/mmm
# Raw formation energy in eV/atom: -1.386